# 1
A relaxed structure of LaNdIrPd, computed with PBE.

```
LaNdIrPd
1.0
4.5679 0.0000 0.0000
0.0000 1.9645 5.4178
0.0000 -1.9645 5.4178
La Nd Ir Pd
1 1 1 1
Cartesian
0.0000 0.0000 0.0000
2.2840 0.0000 2.9868
0.0000 0.0000 7.9092
2.2840 0.0000 6.0167
```

Computed properties:
VASP energy (eV per atom): -6.70
ΔE_f (eV per atom): -0.758
Space-group type: No. 38
ΔE to the lowest computed polymorph (meV/atom): 0

# 2
A relaxed structure of Fe2SbBr, computed with PBE.

```
Fe2SbBr
1.0
3.5294 0.0000 0.0000
0.0000 3.5315 0.0000
-0.0086 0.0000 7.2671
Fe Sb Br
2 1 1
Cartesian
0.0000 0.0000 0.0000
1.7560 1.7657 7.2668
1.7557 0.0000 5.2901
-0.0005 1.7657 1.8782
```

Computed properties:
VASP energy (eV per atom): -5.61
Formation energy (no corrections) (eV per formula unit): 0.265
Space-group type: No. 6
ΔE to the lowest computed polymorph (meV/atom): 0

# 3
A relaxed structure of Ca3Ag4Sn4, computed with PBE.

```
Ca3Ag4Sn4
1.0
-1.8500 2.4387 14.9224
1.8500 -2.4387 14.9224
1.8500 2.4387 -14.9224
Ca Ag Sn
3 4 4
Cartesian
0.0000 0.0000 0.0000
1.8500 0.0000 10.6105
0.0000 2.4387 4.3119
1.8500 0.0000 2.7984
0.0000 0.0000 7.8374
0.0000 0.0000 22.0074
0.0000 2.4387 12.1240
1.8500 0.0000 5.5805
0.0000 0.0000 13.4348
0.0000 0.0000 16.4100
0.0000 2.4387 9.3419
```

Computed properties:
VASP energy (eV per atom): -3.43
ΔE_f (eV per atom): -0.395
Space-group type: No. 71
ΔE to the lowest computed polymorph (meV/atom): 0

# 4
A relaxed structure of Tb2CdSn, computed with PBE.

```
Tb2CdSn
1.0
6.2546 0.0000 0.0000
0.0000 4.5867 0.0000
-2.7838 0.0000 7.7571
Tb Cd Sn
4 2 2
Cartesian
0.0715 1.1467 3.2922
-1.2572 1.1467 7.1887
4.7280 3.4401 0.5684
3.3993 3.4401 4.4648
1.4729 3.4401 1.6104
1.9979 1.1467 6.1467
0.1586 3.4401 5.4950
3.3123 1.1467 2.2621
```

Computed properties:
VASP energy (eV per atom): -4.04
ΔE_f (eV per atom): -0.495
Space-group type: No. 11